HfTlBi2: relaxed, GGA-PBEsol.

Calculated values
The value obtained for the density of states at the Fermi level is 2.768 states/eV/cell. The calculated volume is 26.72 Å³/atom. The value obtained for the total DFT energy (no corrections) is -20.9 eV/cell. The calculation puts the energy relative to the elements at 195 meV/atom. Its total magnetic moment is 0.0 μB/f.u.

a = 5.327 Å, b = 5.327 Å, c = 5.327 Å
α = 60.00°, β = 60.00°, γ = 60.00°
Positions (direct):
1 Tl 0.500 0.500 0.500
2 Hf 0.000 0.000 0.000
3 Bi 0.250 0.250 0.250
4 Bi 0.750 0.750 0.750

LaTa2Se: relaxed, GGA-PBEsol.

Calculated values
The uncorrected formation energy is 0.250 eV per atom. The value obtained for the density of states at the Fermi level is 3.993 states/eV/cell. The calculated volume is 20.38 Å³/atom. The value obtained for the total DFT energy (no corrections) is -33.3 eV/cell. Its total magnetic moment is 0.0 μB/f.u.

a = 4.616 Å, b = 5.029 Å, c = 4.616 Å
α = 62.68°, β = 90.00°, γ = 117.32°
Positions (direct):
1 Ta 0.250 0.500 0.250
2 Ta 0.000 0.000 0.000
3 La 0.500 0.000 0.500
4 Se 0.750 0.500 0.750

BiSbH2: relaxed, GGA-PBEsol.

Calculated values
The value obtained for the density of states at the Fermi level is 1.936 states/eV/cell. The calculated volume is 15.36 Å³/atom. The value obtained for the total DFT energy (no corrections) is -12.9 eV/cell. Its total magnetic moment is 0.0 μB/f.u.

a = 4.429 Å, b = 4.429 Å, c = 4.429 Å
α = 60.00°, β = 60.00°, γ = 60.00°
Positions (direct):
1 Sb 0.000 0.000 0.000
2 H 0.250 0.250 0.250
3 H 0.750 0.750 0.750
4 Bi 0.500 0.500 0.500

K2CdSnB: relaxed, GGA-PBEsol.

Calculated values
The value obtained for the density of states at the Fermi level is 4.762 states/eV/cell. The calculated volume is 46.20 Å³/atom. The value obtained for the total DFT energy (no corrections) is -8.8 eV/cell. The calculation puts the energy relative to the elements at 1181 meV/atom. Its total magnetic moment is 1.0 μB/f.u.

a = 5.214 Å, b = 6.656 Å, c = 6.656 Å
α = 90.00°, β = 90.00°, γ = 90.00°
Site moments in Bohr magnetons follow the coordinates.
Positions (direct):
1 K 0.000 0.000 0.500  0.00
2 K 0.000 0.500 0.000  0.00
3 Cd 0.500 0.000 0.000  0.00
4 B 0.500 0.500 0.500  0.45
5 Sn 0.000 0.000 0.000  -0.17

Mg2CdAg: relaxed, GGA-PBEsol.

Calculated values
The value obtained for the density of states at the Fermi level is 1.106 states/eV/cell. The calculated volume is 18.98 Å³/atom. The value obtained for the total DFT energy (no corrections) is -8.6 eV/cell. The calculation puts the energy relative to the elements at -176 meV/atom. Its total magnetic moment is 0.0 μB/f.u. As for the relative energy among the computed polymorphs: 12 meV/atom.

a = 4.753 Å, b = 4.753 Å, c = 4.753 Å
α = 60.00°, β = 60.00°, γ = 60.00°
Positions (direct):
1 Cd 0.500 0.500 0.500
2 Mg 0.250 0.250 0.250
3 Mg 0.750 0.750 0.750
4 Ag 0.000 0.000 0.000

AlSi2W: relaxed, GGA-PBEsol.

Calculated values
The uncorrected formation energy is 0.181 eV per atom. The value obtained for the density of states at the Fermi level is 1.814 states/eV/cell. The calculated volume is 13.94 Å³/atom. The value obtained for the total DFT energy (no corrections) is -28.7 eV/cell. Its total magnetic moment is 0.0 μB/f.u.

a = 3.235 Å, b = 4.040 Å, c = 4.266 Å
α = 90.00°, β = 90.00°, γ = 90.00°
Positions (direct):
1 Al 0.000 0.500 0.500
2 W 0.500 0.500 0.000
3 Si 0.500 0.000 0.500
4 Si 0.000 0.000 0.000